Record 1
The following is a DFT calculation (meta-GGA SCAN) of a PBEsol-optimized structure of Sr2RePb.

Calculated values
Magnetic moment in μB/cell: 0.72
Symmetry: Amm2, No. 38
DFT formation energy in eV/f.u.: 1.661
N(E_F) in states/eV per cell: 3.19

```
4
Lattice="-2.8879 3.4400 -0.6601 -2.8479 -1.7817 3.1744 4.1420 3.9726 2.5810" Properties=species:S:1:pos:R:3 pbc="T T T"
Pb 0.2823 1.0437 4.2037
Re -1.8276 2.0086 2.8524
Sr 0.5825 0.6605 0.8933
Sr 0.7053 4.1569 2.9659
```

Record 2
The following is a DFT calculation (meta-GGA SCAN) of a PBEsol-optimized structure of K2SbP.

Calculated values
Formation energy without anion corrections in eV per atom: -0.155
Magnetic moment in μB/cell: 0.00
Symmetry: P4mm, No. 99
N(E_F) in states/eV per cell: 1.05

```
4
Lattice="-1.4522 -3.4288 -0.0129 3.4212 -1.4499 0.2424 -0.6098 0.2209 9.9258" Properties=species:S:1:pos:R:3 pbc="T T T"
K -0.5587 0.2024 9.0952
K 0.7781 -2.3646 3.4746
P -0.3521 0.1276 5.7321
Sb 0.5773 -2.2918 6.7423
```